No. 1
Ca2PuMnN5 GGA-PBE relaxed; space-group type = Cmc2_1; volume = 13.9 A^3/atom; formation energy (no corrections) = -0.7194 eV/atom; final energy = -8.40 eV per atom; size of the total moment = 8.04 Bohr magnetons per cell
1.0
1.721 -6.726 0.000
1.721 6.726 0.000
0.000 0.000 10.811
Ca Pu Mn N
4 2 2 10
Cartesian
1.721 5.479 5.405
1.721 4.823 1.900
1.721 -4.823 7.306
1.721 -5.479 0.000
1.721 3.985 9.519
1.721 -3.985 4.114
1.721 0.586 2.864
1.721 -0.586 8.269
1.721 6.186 9.078
1.721 2.907 5.428
1.721 2.402 2.768
1.721 2.024 9.158
1.721 0.067 6.720
1.721 -0.067 1.314
1.721 -2.024 3.753
1.721 -2.402 8.173
1.721 -2.907 0.023
1.721 -6.186 3.673

No. 2
Sr2NiAsN GGA-PBE relaxed; space-group type = P4/mmm; volume = 21.5 A^3/atom; formation energy (no corrections) = -0.7241 eV/atom; final energy = -5.15 eV per atom; size of the total moment = 0.00 Bohr magnetons per cell
1.0
5.513 0.000 0.000
0.000 5.513 0.000
0.000 0.000 3.530
Sr Ni As N
2 1 1 1
Cartesian
0.000 2.757 0.000
2.757 0.000 0.000
0.000 0.000 1.765
2.757 2.757 1.765
0.000 0.000 0.000

No. 3
Li6Bi2Pb GGA-PBE relaxed; energy above the most stable polymorph in this dataset = 6.4 meV/atom; space-group type = P6/mmm; volume = 20.8 A^3/atom; final energy = -2.92 eV per atom; ΔH_f (0 K) = -0.374 eV/atom; size of the total moment = 0.00 Bohr magnetons per cell
1.0
8.155 0.000 0.000
-4.078 7.063 0.000
0.000 0.000 3.254
Li Bi Pb
6 2 1
Cartesian
-1.368 2.369 0.000
-2.710 4.694 0.000
2.736 0.000 0.000
1.368 2.369 0.000
5.420 0.000 0.000
2.710 4.694 0.000
0.000 4.708 1.627
4.078 2.354 1.627
0.000 0.000 1.627

No. 4
Nd2TiMnS6 GGA-PBE relaxed; space-group type = P2_1/c; volume = 20.9 A^3/atom; formation energy (no corrections) = -1.5366 eV/atom; final energy = -6.67 eV per atom; size of the total moment = 9.95 Bohr magnetons per cell
1.0
6.357 0.000 0.000
0.000 7.074 0.000
-6.282 0.000 9.283
Nd Ti Mn S
4 2 2 12
Cartesian
-0.234 0.723 2.302
-3.374 2.814 6.943
3.450 4.260 2.339
0.309 6.351 6.981
3.179 0.000 0.000
0.038 3.537 4.641
-3.141 0.000 4.641
0.000 3.537 0.000
-5.121 1.285 8.780
-1.981 2.252 4.139
-4.206 4.895 8.765
-1.065 5.716 4.123
-2.379 0.178 6.977
0.762 3.358 2.335
-0.686 3.715 6.947
2.455 6.895 2.306
1.141 1.358 5.159
4.281 2.179 0.518
2.057 4.822 5.144
5.197 5.789 0.503

No. 5
Sr4Sb2H GGA-PBE relaxed; energy above the most stable polymorph in this dataset = 50.3 meV/atom; space-group type = Pnma; volume = 32.3 A^3/atom; final energy = -3.42 eV per atom; size of the total moment = 0.00 Bohr magnetons per cell
1.0
9.540 0.000 0.000
0.000 7.358 0.000
0.000 0.000 12.903
Sr Sb H
16 8 4
Cartesian
0.405 1.839 1.122
1.598 1.839 7.648
1.752 3.707 4.401
1.752 7.330 4.401
3.018 0.028 10.852
3.018 3.651 10.852
3.172 5.518 1.196
4.365 5.518 7.574
5.175 1.839 5.329
6.368 1.839 11.706
6.521 3.707 2.050
6.521 7.330 2.050
7.788 0.028 8.502
7.788 3.651 8.502
7.942 5.518 5.255
9.134 5.518 11.780
0.065 1.839 10.726
1.048 5.518 7.633
3.722 1.839 1.182
4.705 5.518 4.275
4.834 1.839 8.628
5.818 5.518 11.721
8.492 1.839 5.269
9.475 5.518 2.176
2.003 5.518 11.966
2.766 1.839 5.515
6.773 5.518 7.388
7.536 1.839 0.937

No. 6
GdErMn4 GGA-PBE relaxed; space-group type = F-43m; volume = 15.9 A^3/atom; final energy = -9.08 eV per atom; ΔH_f (0 K) = 0.139 eV/atom; size of the total moment = 2.30 Bohr magnetons per cell
1.0
0.000 3.624 3.624
3.624 0.000 3.624
3.624 3.624 0.000
Gd Er Mn
1 1 4
Cartesian
0.000 0.000 0.000
1.812 1.812 1.812
4.529 2.720 2.720
2.720 4.529 2.720
2.720 2.720 4.529
4.529 4.529 4.529

No. 7
Ac2PdN GGA-PBE relaxed; energy above the most stable polymorph in this dataset = 0.0 meV/atom; space-group type = R-3m; volume = 25.3 A^3/atom; formation energy (no corrections) = -0.7821 eV/atom; final energy = -6.22 eV per atom; size of the total moment = 0.00 Bohr magnetons per cell
1.0
1.995 1.152 7.333
-1.995 1.152 7.333
0.000 -2.303 7.333
Ac Pd N
2 1 1
Cartesian
0.000 0.000 5.222
0.000 0.000 16.776
0.000 0.000 0.000
0.000 0.000 10.999

No. 8
Bi2HPdAu GGA-PBE relaxed; space-group type = P4/mmm; volume = 20.7 A^3/atom; final energy = -3.89 eV per atom; size of the total moment = 0.00 Bohr magnetons per cell
1.0
5.552 0.000 0.000
0.000 5.552 0.000
0.000 0.000 3.359
Bi H Pd Au
2 1 1 1
Cartesian
0.000 2.776 0.000
2.776 0.000 0.000
0.000 0.000 1.679
0.000 0.000 0.000
2.776 2.776 1.679